No. 1
This record from Alexandria via LeMat-Bulk describes an optimized crystal structure of BMoCl2. The functional is PBE-GGA.

## Properties
density of states at the Fermi level: 1.159 states/eV/atom
energy above the most stable polymorph in this dataset: 0.3568 eV/atom
formation energy from raw total energies: 1.215 eV per atom

The structure in CIF format:
```
data_BMoCl2
_chemical_formula_sum 'B4 Mo4 Cl8'
_space_group_name_H-M_alt 'F m -3 m'
_space_group_IT_number 225
_space_group_name_Hall '-F 4 2 3'
_cell_length_a 6.1216
_cell_length_b 6.1216
_cell_length_c 6.1216
_cell_angle_alpha 90.00
_cell_angle_beta 90.00
_cell_angle_gamma 90.00
loop_
_atom_site_label
_atom_site_fract_x
_atom_site_fract_y
_atom_site_fract_z
B1 0.0000 0.0000 0.0000
Mo1 0.0000 0.0000 0.5000
Cl1 0.2500 0.2500 0.2500
```

***

No. 2
This record from Alexandria via LeMat-Bulk describes an optimized crystal structure of BMo2Cl. The functional is PBE-GGA.

## Properties
density of states at the Fermi level: 0.761 states/eV/atom
energy above the most stable polymorph in this dataset: 0.0000 eV/atom
formation energy from raw total energies: 0.688 eV per atom

The structure in CIF format:
```
data_BMo2Cl
_chemical_formula_sum 'B4 Mo8 Cl4'
_space_group_name_H-M_alt 'F m -3 m'
_space_group_IT_number 225
_space_group_name_Hall '-F 4 2 3'
_cell_length_a 5.8548
_cell_length_b 5.8548
_cell_length_c 5.8548
_cell_angle_alpha 90.00
_cell_angle_beta 90.00
_cell_angle_gamma 90.00
loop_
_atom_site_label
_atom_site_fract_x
_atom_site_fract_y
_atom_site_fract_z
B1 0.0000 0.0000 0.0000
Mo1 0.2500 0.2500 0.2500
Cl1 0.0000 0.0000 0.5000
```

***

No. 3
This record from Alexandria via LeMat-Bulk describes an optimized crystal structure of B2MoCl. The functional is PBE-GGA.

## Properties
density of states at the Fermi level: 0.952 states/eV/atom
energy above the most stable polymorph in this dataset: 0.0000 eV/atom
formation energy from raw total energies: 1.251 eV per atom

The structure in CIF format:
```
data_B2MoCl
_chemical_formula_sum 'B8 Mo4 Cl4'
_space_group_name_H-M_alt 'I -4 2 d'
_space_group_IT_number 122
_space_group_name_Hall 'I -4 2bw'
_cell_length_a 5.2489
_cell_length_b 5.2489
_cell_length_c 9.3155
_cell_angle_alpha 90.00
_cell_angle_beta 90.00
_cell_angle_gamma 90.00
loop_
_atom_site_label
_atom_site_fract_x
_atom_site_fract_y
_atom_site_fract_z
B1 0.2196 0.2500 0.1250
Mo1 0.0000 0.0000 0.0000
Cl1 0.0000 0.0000 0.5000
```

***

No. 4
This record from Alexandria via LeMat-Bulk describes an optimized crystal structure of BMoCl2. The functional is PBE-GGA.

## Properties
density of states at the Fermi level: 0.838 states/eV/atom
energy above the most stable polymorph in this dataset: 0.2101 eV/atom
formation energy from raw total energies: 1.069 eV per atom

The structure in CIF format:
```
data_BMoCl2
_chemical_formula_sum 'B3 Mo3 Cl6'
_space_group_name_H-M_alt 'R -3 m'
_space_group_IT_number 166
_space_group_name_Hall '-R 3 2"'
_cell_length_a 3.0662
_cell_length_b 3.0662
_cell_length_c 24.7461
_cell_angle_alpha 90.00
_cell_angle_beta 90.00
_cell_angle_gamma 120.00
loop_
_atom_site_label
_atom_site_fract_x
_atom_site_fract_y
_atom_site_fract_z
B1 0.0000 0.0000 0.0000
Mo1 0.0000 0.0000 0.5000
Cl1 0.0000 0.0000 0.4059
```